## A
Density functional theory data (PBE) for a geometry-optimized SrLiGa structure.

* symmetry: P-1

abc: 5.027 7.963 5.934
angles: 52.30 64.79 89.91
Positions (direct):
Li  0.889  0.603  0.496
Li  0.530  0.025  0.213
Ga  0.871  0.940  0.531
Ga  0.548  0.688  0.177
Sr  0.155  0.512  0.963
Sr  0.264  0.117  0.746



## B
Density functional theory data (PBE) for a geometry-optimized SrLiGa structure.

* symmetry: I4mm

abc: 3.793 3.793 6.102
angles: 108.11 108.11 90.00
Positions (direct):
Li  0.655  0.655  0.309
Sr  0.942  0.942  0.884
Ga  0.254  0.254  0.507



Bottom line: A, by a margin of 99 meV per atom.



## A
Density functional theory data (PBE) for a geometry-optimized SrLi2ZnGa structure.

* symmetry: P4/mmm

abc: 4.981 4.846 4.981
angles: 90.00 90.00 90.00
Positions (direct):
Ga  0.000  0.000  0.000
Li  0.000  0.000  0.500
Li  0.500  0.000  0.000
Zn  0.000  0.500  0.000
Sr  0.500  0.500  0.500



## B
Density functional theory data (PBE) for a geometry-optimized SrLi2ZnGa structure.

* symmetry: P4/mmm

abc: 4.993 4.993 4.777
angles: 90.00 90.00 90.00
Positions (direct):
Li  0.000  0.500  0.000
Li  0.500  0.000  0.000
Sr  0.500  0.500  0.500
Ga  0.000  0.000  0.500
Zn  0.000  0.000  0.000



Bottom line: A, by a margin of 15 meV per atom.



## A
Density functional theory data (PBE) for a geometry-optimized LiTaGa3 structure.

* symmetry: Pm-3m

abc: 5.066 5.066 5.066
angles: 90.00 90.00 90.00
Positions (direct):
Ga  0.000  0.000  0.500
Ga  0.000  0.500  0.000
Ga  0.500  0.000  0.000
Li  0.500  0.500  0.500
Ta  0.000  0.000  0.000



## B
Density functional theory data (PBE) for a geometry-optimized LiTaGa3 structure.

* symmetry: Pm-3m

abc: 4.364 4.364 4.364
angles: 90.00 90.00 90.00
Positions (direct):
Li  0.000  0.000  0.000
Ga  0.500  0.000  0.000
Ga  0.000  0.000  0.500
Ga  0.000  0.500  0.000
Ta  0.500  0.500  0.500



Bottom line: A, by a margin of 269 meV per atom.



## A
Density functional theory data (PBE) for a geometry-optimized Li2TbGa6 structure.

* symmetry: Immm

abc: 3.560 7.424 7.575
angles: 119.34 103.59 90.00
Positions (direct):
Tb  0.000  0.500  0.000
Li  0.872  0.872  0.745
Li  0.128  0.128  0.255
Ga  0.500  0.830  0.000
Ga  0.500  0.170  0.000
Ga  0.315  0.136  0.631
Ga  0.315  0.495  0.631
Ga  0.685  0.505  0.369
Ga  0.685  0.864  0.369



## B
Density functional theory data (PBE) for a geometry-optimized Li2TbGa6 structure.

* symmetry: P6/mmm

abc: 3.425 7.626 7.626
angles: 120.00 90.00 90.00
Positions (direct):
Ga  0.500  0.338  0.000
Ga  0.500  0.662  0.662
Ga  0.500  0.000  0.338
Ga  0.500  0.662  0.000
Ga  0.500  0.000  0.662
Ga  0.500  0.338  0.338
Li  0.000  0.333  0.667
Li  0.000  0.667  0.333
Tb  0.000  0.000  0.000



Bottom line: B, by a margin of 23 meV per atom.



## A
Density functional theory data (PBE) for a geometry-optimized Li3TbGa3 structure.

* symmetry: P2_1/m

abc: 4.446 8.425 8.456
angles: 119.87 90.00 90.00
Positions (direct):
Tb  0.750  0.335  0.668
Tb  0.250  0.665  0.332
Ga  0.250  0.071  0.612
Ga  0.750  0.613  0.541
Ga  0.750  0.929  0.388
Ga  0.250  0.387  0.459
Ga  0.250  0.542  0.929
Ga  0.750  0.458  0.071
Li  0.250  0.232  0.975
Li  0.750  0.258  0.234
Li  0.750  0.768  0.025
Li  0.750  0.976  0.743
Li  0.250  0.024  0.257
Li  0.250  0.742  0.766



## B
Density functional theory data (PBE) for a geometry-optimized Li3TbGa3 structure.

* symmetry: Pm-3n

abc: 6.632 6.632 6.632
angles: 90.00 90.00 90.00
Positions (direct):
Ga  0.500  0.000  0.250
Ga  0.750  0.500  0.000
Ga  0.000  0.250  0.500
Ga  0.250  0.500  0.000
Ga  0.500  0.000  0.750
Ga  0.000  0.750  0.500
Li  0.500  0.250  0.000
Li  0.500  0.750  0.000
Li  0.750  0.000  0.500
Li  0.000  0.500  0.250
Li  0.250  0.000  0.500
Li  0.000  0.500  0.750
Tb  0.000  0.000  0.000
Tb  0.500  0.500  0.500



Bottom line: A, by a margin of 500 meV per atom.



## A
Density functional theory data (PBE) for a geometry-optimized Li4Tb3Ga4 structure.

* symmetry: Immm

abc: 4.538 6.763 8.320
angles: 113.98 105.83 90.00
Positions (direct):
Li  0.672  0.481  0.344
Li  0.672  0.863  0.344
Li  0.328  0.137  0.656
Li  0.328  0.519  0.656
Ga  0.500  0.192  0.000
Ga  0.786  0.286  0.572
Ga  0.214  0.714  0.428
Ga  0.500  0.808  0.000
Tb  0.877  0.877  0.754
Tb  0.123  0.123  0.246
Tb  0.000  0.500  0.000



## B
Density functional theory data (PBE) for a geometry-optimized Li4Tb3Ga4 structure.

* symmetry: Immm

abc: 4.614 3.422 14.597
angles: 96.73 99.09 90.00
Positions (direct):
Ga  0.183  0.683  0.365
Ga  0.548  0.548  0.095
Ga  0.452  0.452  0.905
Ga  0.817  0.317  0.635
Li  0.258  0.258  0.516
Li  0.908  0.408  0.816
Li  0.092  0.592  0.184
Li  0.742  0.742  0.484
Tb  0.642  0.142  0.284
Tb  0.358  0.858  0.716
Tb  0.000  0.000  0.000



Bottom line: B, by a margin of 12 meV per atom.